# SrTh3Pa4N12 (PBE, relaxed)
# - raw formation energy (eV per atom) = -1.416
# - N(E_F) (states/eV/cell) = 41.1
data_SrTh3Pa4N12
_symmetry_space_group_name_H-M 'I m -3'
_symmetry_Int_Tables_number 204
_symmetry_space_group_name_Hall '-I 2 2 3'
_cell_length_a 8.653
_cell_length_b 8.653
_cell_length_c 8.653
_cell_angle_alpha 90.00
_cell_angle_beta 90.00
_cell_angle_gamma 90.00
loop_
_atom_site_label
_atom_site_fract_x
_atom_site_fract_y
_atom_site_fract_z
Sr1 0.000 0.000 0.000
Th1 0.000 0.000 0.500
Pa1 0.250 0.250 0.250
N1 0.000 0.197 0.307